# 1
First-principles (PBE-GGA) data for a geometry-optimized ErPu2Ga3Pt4 structure, as listed in the Alexandria database.

abc: 4.1694 4.1694 11.6033
angles: 90.00 90.00 90.00
Space group P-4m2 (No. 115)
One atom of each set of equivalent atoms:
Er  0.0000  0.0000  0.0000
Pu  0.0000  0.5000  0.7354
Ga  0.0000  0.5000  0.3736
Ga  0.5000  0.5000  0.0000
Pt  0.0000  0.0000  0.5000
Pt  0.0000  0.5000  0.1583
Pt  0.5000  0.5000  0.5000

***

# 2
First-principles (PBE-GGA) data for a geometry-optimized ErGaPtRh structure, as listed in the Alexandria database.

abc: 6.5137 6.5137 6.5137
angles: 90.00 90.00 90.00
Space group F-43m (No. 216)
One atom of each set of equivalent atoms:
Er  0.0000  0.0000  0.0000
Ga  0.0000  0.0000  0.5000
Pt  0.2500  0.2500  0.2500
Rh  0.2500  0.2500  0.7500

***

# 3
First-principles (PBE-GGA) data for a geometry-optimized ErGa4Pt2Rh structure, as listed in the Alexandria database.

abc: 4.2798 4.2798 25.6273
angles: 90.00 90.00 120.00
Space group R-3m (No. 166, hexagonal axes)
One atom of each set of equivalent atoms:
Er  0.0000  0.0000  0.0000
Ga  0.0000  0.0000  0.1323
Ga  0.0000  0.0000  0.3963
Pt  0.0000  0.0000  0.2402
Rh  0.0000  0.0000  0.5000

***

# 4
First-principles (PBE-GGA) data for a geometry-optimized ErGa4Ru2Pt structure, as listed in the Alexandria database.

abc: 4.2737 4.2737 25.1800
angles: 90.00 90.00 120.00
Space group R-3m (No. 166, hexagonal axes)
One atom of each set of equivalent atoms:
Er  0.0000  0.0000  0.0000
Ga  0.0000  0.0000  0.1278
Ga  0.0000  0.0000  0.3956
Ru  0.0000  0.0000  0.2360
Pt  0.0000  0.0000  0.5000

***

# 5
First-principles (PBE-GGA) data for a geometry-optimized Er2Ga4RuPt3 structure, as listed in the Alexandria database.

abc: 4.2413 4.2413 10.2882
angles: 90.00 90.00 90.00
Space group P-4m2 (No. 115)
One atom of each set of equivalent atoms:
Er  0.0000  0.5000  0.2325
Ga  0.0000  0.0000  0.5000
Ga  0.0000  0.5000  0.8729
Ga  0.5000  0.5000  0.5000
Ru  0.5000  0.5000  0.0000
Pt  0.0000  0.0000  0.0000
Pt  0.0000  0.5000  0.6352

***

# 6
First-principles (PBE-GGA) data for a geometry-optimized ErScGaPt structure, as listed in the Alexandria database.

Results
The energy above the most stable polymorph in this dataset comes out at 0.0000 eV/atom.

abc: 4.3305 3.5988 10.7044
angles: 90.00 90.00 90.00
Space group Amm2 (No. 38)
One atom of each set of equivalent atoms:
Er  0.0000  0.0000  0.0000
Sc  0.5000  0.0000  0.7143
Ga  0.0000  0.0000  0.2725
Pt  0.5000  0.0000  0.4292

***

# 7
First-principles (PBE-GGA) data for a geometry-optimized Er2ScGa3Pt4 structure, as listed in the Alexandria database.

abc: 4.0755 4.0755 11.4753
angles: 90.00 90.00 90.00
Space group P-4m2 (No. 115)
One atom of each set of equivalent atoms:
Er  0.0000  0.5000  0.2350
Sc  0.0000  0.0000  0.5000
Ga  0.0000  0.5000  0.8683
Ga  0.5000  0.5000  0.5000
Pt  0.0000  0.0000  0.0000
Pt  0.0000  0.5000  0.6530
Pt  0.5000  0.5000  0.0000

***

no.,formation enthalpy at 0 K (eV per atom),E_tot (eV per atom)
1,-0.795,-7.442
2,-0.864,-6.109
3,-0.700,-5.213
4,-0.472,-5.630
5,-0.844,-5.707
6,-0.941,-5.931
7,-1.001,-5.871